First-principles (PBE) data for a relaxed structure of Mn2NiAu, as listed in Alexandria.

D(E_F) in states/eV/f.u.: 4.7
M_tot in μB/atom: 1.597
Volume in Å³/cell: 55.3
Final energy in eV/atom: -6.7052
Excess energy over the best structure of this formula in the dataset in meV/atom: 143
DFT formation energy in eV/f.u.: 0.58

The structure in POSCAR format:
```
Mn2NiAu
1.0
2.9471 0.0000 0.0000
0.0000 2.9471 0.0000
0.0000 0.0000 6.3647
Mn Ni Au
2 1 1
Cartesian
0.0000 0.0000 0.0000
1.4736 1.4736 1.5748
0.0000 0.0000 2.8067
1.4736 1.4736 4.5758
```